Crystalline NiRhAu2 at its relaxed geometry. Source: Alexandria, functional PBE.

Summary:
polymorph energy (0 for the lowest one): 0.350 eV per formula unit
ΔE_f: 0.173 eV/atom
M_tot: 1.47 Bohr magnetons per cell
E_tot: -4.749 eV per atom

Cell lengths 4.8380, 4.8380, 4.8380 Å; angles 131.61, 131.61, 70.85 degrees
Closest atoms and distances in Å follow each position.
Positions (direct):
Rh (0.7500, 0.2500, 0.5000)  4 Ni 2.80, 8 Au 2.80
Au (0.0000, 0.0000, 0.0000)  4 Rh 2.80, 4 Au 2.80, 4 Ni 2.80
Ni (0.5000, 0.5000, 0.0000)  4 Rh 2.80, 8 Au 2.80
Au (0.2500, 0.7500, 0.5000)  4 Au 2.80, 4 Ni 2.80, 4 Rh 2.80